<P>
Below is crystalline B5C7 at its relaxed geometry, with properties calculated at the GGA-PBE level.

a = 3.582 Å, b = 4.775 Å, c = 5.432 Å
α = 65.70°, β = 88.01°, γ = 69.08°
Element x y z (fractional)
B (0.000, 0.000, 0.000)
B (0.051, 0.365, 0.962)
B (0.354, 0.350, 0.670)
B (0.669, 0.671, 0.343)
B (0.750, 0.066, 0.261)
C (0.011, 0.023, 0.522)
C (0.092, 0.339, 0.426)
C (0.324, 0.370, 0.189)
C (0.408, 0.706, 0.604)
C (0.424, 0.674, 0.087)
C (0.650, 0.703, 0.842)
C (0.756, 0.003, 0.751)



<Q>
Below is crystalline B5C7 at its relaxed geometry, with properties calculated at the GGA-PBE level.

a = 3.651 Å, b = 3.896 Å, c = 5.924 Å
α = 107.97°, β = 90.14°, γ = 91.74°
Element x y z (fractional)
B (0.000, 0.000, 0.000)
B (0.004, 0.657, 0.387)
B (0.427, 0.426, 0.996)
B (0.458, 0.835, 0.704)
B (0.813, 0.971, 0.264)
C (0.199, 0.042, 0.521)
C (0.212, 0.644, 0.859)
C (0.226, 0.328, 0.215)
C (0.474, 0.202, 0.384)
C (0.717, 0.508, 0.540)
C (0.727, 0.170, 0.853)
C (0.960, 0.346, 0.699)



Bottom line: <P>, by a margin of 2.1 kJ/mol of atoms.



<P>
Below is crystalline Sr3LiPd at its relaxed geometry, with properties calculated at the GGA-PBE level.

a = 8.374 Å, b = 8.374 Å, c = 8.374 Å
α = 60.59°, β = 60.59°, γ = 60.59°
Element x y z (fractional)
Sr (0.196, 0.750, 0.304)
Sr (0.250, 0.696, 0.804)
Sr (0.304, 0.196, 0.750)
Sr (0.696, 0.804, 0.250)
Sr (0.750, 0.304, 0.196)
Sr (0.804, 0.250, 0.696)
Li (0.250, 0.250, 0.250)
Li (0.750, 0.750, 0.750)
Pd (0.000, 0.000, 0.000)
Pd (0.500, 0.500, 0.500)



<Q>
Below is crystalline Sr3LiPd at its relaxed geometry, with properties calculated at the GGA-PBE level.

a = 7.451 Å, b = 4.445 Å, c = 10.990 Å
α = 90.00°, β = 90.10°, γ = 90.00°
Element x y z (fractional)
Sr (0.214, 0.250, 0.250)
Sr (0.231, 0.750, 0.559)
Sr (0.232, 0.750, 0.940)
Sr (0.768, 0.250, 0.060)
Sr (0.769, 0.250, 0.441)
Sr (0.786, 0.750, 0.750)
Li (0.429, 0.250, 0.750)
Li (0.571, 0.750, 0.250)
Pd (0.078, 0.250, 0.749)
Pd (0.922, 0.750, 0.251)



Bottom line: <Q>, by a margin of 1.7 kJ/mol of atoms.